First-principles (PBE) data for a geometry-optimized Ho2ThCo structure, as listed in Alexandria.

a b c (Å): 5.0481 5.0481 5.0481
angles (deg): 63.16 63.16 63.16
Positions (direct):
Ho  0.2404  0.2404  0.2404
Ho  0.7596  0.7596  0.7596
Th  0.5000  0.5000  0.5000
Co  0.0000  0.0000  0.0000

Formation energy ... 1.78 eV/f.u.
D(E_F) ... 7.2 states/eV per cell